i) First-principles (PBE) data for an optimized crystal structure of AgBr2Cl, as listed in Alexandria via LeMat-Bulk.

Cell and atoms, written as POSCAR:
```
AgBr2Cl
1.0
3.938 0.000 0.000
0.000 3.944 0.000
0.000 0.000 7.822
Br Ag Cl
2 1 1
direct
0.000 0.000 0.000 Br
0.500 0.500 0.000 Br
0.000 0.500 0.500 Ag
0.500 0.000 0.500 Cl
```

Values from the calculation:
The space group is P4/mmm. The value obtained for the theoretical density is 4.1 Mg/m³. As for the total moment: 0.0 μB/cell. The value obtained for the density of states at the Fermi level is 1.217 states/eV per cell.

=====

ii) First-principles (PBE) data for an optimized crystal structure of AgBr2Cl, as listed in Alexandria via LeMat-Bulk.

Cell and atoms, written as POSCAR:
```
AgBr2Cl
1.0
-2.908 3.929 -1.710
-0.517 0.815 -5.088
-4.527 -0.951 -2.328
Br Ag Cl
2 1 1
direct
0.000 0.000 0.000 Br
0.250 0.250 0.250 Br
0.500 0.500 0.500 Ag
0.750 0.750 0.750 Cl
```

Values from the calculation:
The space group is F-43m. The value obtained for the theoretical density is 5.1 Mg/m³. As for the total moment: 2.0 μB/cell. The value obtained for the density of states at the Fermi level is 3.578 states/eV per cell.

=====

iii) First-principles (PBE) data for an optimized crystal structure of AgBr2Cl, as listed in Alexandria via LeMat-Bulk.

Cell and atoms, written as POSCAR:
```
AgBr2Cl
1.0
-1.019 -7.689 2.681
-2.025 -7.808 -1.510
2.106 -7.926 -0.280
Br Ag Cl
2 1 1
direct
0.895 0.895 0.895 Br
0.105 0.105 0.105 Br
0.500 0.500 0.500 Ag
0.000 0.000 0.000 Cl
```

Values from the calculation:
The space group is R-3m. The value obtained for the theoretical density is 4.0 Mg/m³. As for the total moment: 0.0 μB/cell. The value obtained for the density of states at the Fermi level is 0.000 states/eV per cell.

=====

iv) First-principles (PBE) data for an optimized crystal structure of AgBr2Cl, as listed in Alexandria via LeMat-Bulk.

Cell and atoms, written as POSCAR:
```
AgBr2Cl
1.0
-5.019 -4.631 -0.651
3.008 -2.994 -1.899
2.283 -2.862 2.757
Br Ag Cl
2 1 1
direct
0.000 0.006 0.998 Br
0.500 0.288 0.296 Br
0.500 0.632 0.631 Ag
0.000 0.573 0.574 Cl
```

Values from the calculation:
The space group is Pm. The value obtained for the theoretical density is 3.9 Mg/m³. As for the total moment: 0.0 μB/cell. The value obtained for the density of states at the Fermi level is 1.260 states/eV per cell.

=====

Verdict on stability: iii) comes out on top.

=====

i) First-principles (PBE) data for an optimized crystal structure of AgBr2Cl2, as listed in Alexandria via LeMat-Bulk.

Cell and atoms, written as POSCAR:
```
AgBr2Cl2
1.0
-2.081 2.954 -2.216
2.427 -2.671 -1.785
-10.278 -5.322 2.561
Ag Br Cl
1 2 2
direct
0.000 0.000 0.000 Ag
0.778 0.556 0.137 Br
0.222 0.444 0.863 Br
0.955 0.911 0.407 Cl
0.045 0.089 0.593 Cl
```

Values from the calculation:
The space group is C2/m. The value obtained for the theoretical density is 3.5 Mg/m³. As for the total moment: 0.0 μB/cell. The value obtained for the density of states at the Fermi level is 5.788 states/eV per cell.

=====

ii) First-principles (PBE) data for an optimized crystal structure of AgBr2Cl2, as listed in Alexandria via LeMat-Bulk.

Cell and atoms, written as POSCAR:
```
AgBr2Cl2
1.0
3.593 0.000 0.000
0.000 3.593 0.000
1.797 1.797 11.463
Br Ag Cl
2 1 2
direct
0.426 0.426 0.148 Br
0.574 0.574 0.852 Br
0.000 0.000 0.000 Ag
0.750 0.250 0.500 Cl
0.250 0.750 0.500 Cl
```

Values from the calculation:
The space group is I4/mmm. The value obtained for the theoretical density is 3.8 Mg/m³. As for the total moment: 0.8 μB/cell. The value obtained for the density of states at the Fermi level is 4.575 states/eV per cell.

=====

iii) First-principles (PBE) data for an optimized crystal structure of AgBr2Cl2, as listed in Alexandria via LeMat-Bulk.

Cell and atoms, written as POSCAR:
```
AgBr2Cl2
1.0
6.628 0.000 0.000
0.000 6.628 0.000
0.000 0.000 7.961
Br Ag Cl
4 2 4
direct
0.124 0.624 0.500 Br
0.624 0.876 0.500 Br
0.876 0.376 0.500 Br
0.376 0.124 0.500 Br
0.000 0.000 0.000 Ag
0.500 0.500 0.000 Ag
0.326 0.826 0.000 Cl
0.826 0.674 0.000 Cl
0.674 0.174 0.000 Cl
0.174 0.326 0.000 Cl
```

Values from the calculation:
The space group is P4/mbm. The value obtained for the theoretical density is 3.2 Mg/m³. As for the total moment: 0.0 μB/cell. The value obtained for the density of states at the Fermi level is 0.032 states/eV per cell.

=====

Verdict on stability: iii) comes out on top.

=====

i) First-principles (PBE) data for an optimized crystal structure of AgBr3Cl, as listed in Alexandria via LeMat-Bulk.

Cell and atoms, written as POSCAR:
```
AgBr3Cl
1.0
5.322 0.000 0.000
0.000 5.322 0.000
0.000 0.000 5.322
Ag Br Cl
1 3 1
direct
0.500 0.500 0.500 Ag
0.000 0.500 0.000 Br
0.000 0.000 0.500 Br
0.500 0.000 0.000 Br
0.000 0.000 0.000 Cl
```

Values from the calculation:
The space group is Pm-3m. The value obtained for the theoretical density is 4.2 Mg/m³. As for the total moment: 0.0 μB/cell. The value obtained for the density of states at the Fermi level is 5.101 states/eV per cell.

=====

ii) First-principles (PBE) data for an optimized crystal structure of AgBr3Cl, as listed in Alexandria via LeMat-Bulk.

Cell and atoms, written as POSCAR:
```
AgBr3Cl
1.0
5.292 0.000 0.000
0.000 5.292 0.000
0.000 0.000 5.292
Ag Br Cl
1 3 1
direct
0.000 0.000 0.000 Ag
0.000 0.500 0.000 Br
0.000 0.000 0.500 Br
0.500 0.000 0.000 Br
0.500 0.500 0.500 Cl
```

Values from the calculation:
The space group is Pm-3m. The value obtained for the theoretical density is 4.3 Mg/m³. As for the total moment: 1.8 μB/cell. The value obtained for the density of states at the Fermi level is 7.343 states/eV per cell.

=====

iii) First-principles (PBE) data for an optimized crystal structure of AgBr3Cl, as listed in Alexandria via LeMat-Bulk.

Cell and atoms, written as POSCAR:
```
AgBr3Cl
1.0
-8.576 -1.006 -0.089
2.418 -3.081 -7.904
-1.417 -3.328 3.886
Ag Br Cl
2 6 2
direct
0.996 0.998 0.002 Ag
0.505 0.002 0.980 Ag
0.664 0.772 0.012 Br
0.145 0.735 0.464 Br
0.329 0.240 0.016 Br
0.853 0.270 0.534 Br
0.170 0.754 0.975 Br
0.830 0.247 0.019 Br
0.658 0.753 0.480 Cl
0.349 0.231 0.517 Cl
```

Values from the calculation:
The space group is P1. The value obtained for the theoretical density is 3.9 Mg/m³. As for the total moment: 0.0 μB/cell. The value obtained for the density of states at the Fermi level is 3.334 states/eV per cell.

=====

Verdict on stability: iii) comes out on top.

=====

i) First-principles (PBE) data for an optimized crystal structure of Ag3Br5Cl, as listed in Alexandria via LeMat-Bulk.

Cell and atoms, written as POSCAR:
```
Ag3Br5Cl
1.0
7.332 0.528 -3.171
-3.134 7.132 -1.847
0.359 -0.033 10.362
Ag Br Cl
6 10 2
direct
0.501 0.337 0.839 Ag
0.000 0.332 0.332 Ag
0.000 0.000 0.000 Ag
0.500 0.000 0.500 Ag
0.499 0.663 0.161 Ag
0.000 0.668 0.668 Ag
0.676 0.013 0.339 Br
0.685 0.685 0.000 Br
0.813 0.231 0.044 Br
0.820 0.559 0.378 Br
0.180 0.441 0.622 Br
0.187 0.769 0.956 Br
0.326 0.662 0.339 Br
0.315 0.315 0.000 Br
0.324 0.987 0.661 Br
0.674 0.338 0.661 Br
0.836 0.887 0.723 Cl
0.164 0.113 0.277 Cl
```

Values from the calculation:
The space group is C2/m. The value obtained for the theoretical density is 4.5 Mg/m³. As for the total moment: 0.0 μB/cell. The value obtained for the density of states at the Fermi level is 24.363 states/eV per cell.

=====

ii) First-principles (PBE) data for an optimized crystal structure of Ag3Br5Cl, as listed in Alexandria via LeMat-Bulk.

Cell and atoms, written as POSCAR:
```
Ag3Br5Cl
1.0
-5.260 4.890 1.228
-5.948 -2.518 -3.373
-5.841 -4.231 7.685
Ag Br Cl
6 10 2
direct
0.666 0.666 0.833 Ag
0.673 0.673 0.335 Ag
0.000 0.000 0.000 Ag
0.000 0.000 0.500 Ag
0.334 0.334 0.167 Ag
0.327 0.327 0.665 Ag
0.969 0.365 0.335 Br
0.299 0.701 0.000 Br
0.774 0.774 0.027 Br
0.447 0.447 0.356 Br
0.553 0.553 0.644 Br
0.226 0.226 0.973 Br
0.365 0.969 0.335 Br
0.701 0.299 0.000 Br
0.031 0.635 0.665 Br
0.635 0.031 0.665 Br
0.114 0.114 0.682 Cl
0.886 0.886 0.318 Cl
```

Values from the calculation:
The space group is C2/m. The value obtained for the theoretical density is 4.9 Mg/m³. As for the total moment: 0.0 μB/cell. The value obtained for the density of states at the Fermi level is 14.235 states/eV per cell.

=====

Verdict on stability: i) comes out on top.